Model one:
DFT (PBE) results for crystalline LuHfBeCo at its relaxed geometry. Values from VASP.

```
&SYSTEM
  ibrav = 0, nat = 4, ntyp = 4
/
ATOMIC_SPECIES
Lu 174.97 Lu.upf
Co 58.93 Co.upf
Be 9.01 Be.upf
Hf 178.49 Hf.upf
ATOMIC_POSITIONS angstrom
Lu 3.164 3.164 3.164
Co 0.000 0.000 0.000
Be 4.746 4.746 4.746
Hf 1.582 1.582 1.582
CELL_PARAMETERS angstrom
0.000 3.164 3.164
3.164 0.000 3.164
3.164 3.164 0.000
```

---

Model two:
DFT (PBE) results for crystalline LuHfBeCo at its relaxed geometry. Values from VASP.

```
&SYSTEM
  ibrav = 0, nat = 4, ntyp = 4
/
ATOMIC_SPECIES
Lu 174.97 Lu.upf
Hf 178.49 Hf.upf
Co 58.93 Co.upf
Be 9.01 Be.upf
ATOMIC_POSITIONS angstrom
Lu -4.447 -0.964 3.177
Hf 0.000 0.000 0.000
Co -2.224 -0.482 1.589
Be -6.671 -1.446 4.766
CELL_PARAMETERS angstrom
-1.672 -2.556 3.348
-2.848 1.808 3.026
-4.375 -1.180 -0.019
```

---

Which of them is the least stable? Correct choice: model one.